A relaxed structure of PmSm6Co2. Source: Alexandria, functional PBE.

Unit cell a=8.708 b=8.708 c=8.708 alpha=113.07 beta=108.91 gamma=106.50
Fractional coordinates of all 18 atoms:
1 Pm 0.000 0.000 0.000
2 Pm 0.500 0.000 0.500
3 Sm 0.009 0.226 0.783
4 Sm 0.193 0.492 0.300
5 Sm 0.193 0.893 0.700
6 Sm 0.305 0.303 0.608
7 Sm 0.305 0.697 0.002
8 Sm 0.443 0.226 0.217
9 Sm 0.557 0.774 0.783
10 Sm 0.695 0.303 0.998
11 Sm 0.695 0.697 0.392
12 Sm 0.807 0.107 0.300
13 Sm 0.807 0.508 0.700
14 Sm 0.991 0.774 0.217
15 Co 0.110 0.500 0.610
16 Co 0.388 0.388 0.000
17 Co 0.612 0.612 0.000
18 Co 0.890 0.500 0.390

Computed properties:
SG: No. 71
Density of states at the Fermi level: 20.793 states/eV/cell
Energy of formation: -0.002 eV/atom